Entry from Alexandria via LeMat-Bulk: a relaxed CoAsPt crystal (PBE-GGA).

Geometry as extended XYZ:
```
3
Lattice="-2.008 -3.264 0.554 3.184 -0.036 -2.202 1.855 -0.684 2.693" Properties=species:S:1:pos:R:3 pbc="T T T"
As 0.161 -0.059 0.233
Co 1.856 -1.260 -0.700
Pt 1.015 -2.664 1.512
```

total magnetic moment: 0.00 Bohr magnetons per cell
final energy: -6.0073 eV/atom
density of states at the Fermi level: 1.6 states/eV/f.u.


Entry from Alexandria via LeMat-Bulk: a relaxed Pu2Co3As4Pt crystal (PBE-GGA).

Geometry as extended XYZ:
```
10
Lattice="4.174 0.000 0.000 0.000 4.174 0.000 0.000 0.000 9.546" Properties=species:S:1:pos:R:3 pbc="T T T"
Pt 2.087 2.087 4.773
Co 2.087 0.000 8.496
Co 0.000 0.000 4.773
Co 0.000 2.087 1.050
As 0.000 2.087 3.346
As 2.087 2.087 0.000
As 0.000 0.000 0.000
As 2.087 0.000 6.200
Pu 0.000 2.087 7.247
Pu 2.087 0.000 2.299
```

total magnetic moment: 11.16 Bohr magnetons per cell
final energy: -8.0592 eV/atom
density of states at the Fermi level: 27.7 states/eV/f.u.


Entry from Alexandria via LeMat-Bulk: a relaxed Co2AsPtSe crystal (PBE-GGA).

Geometry as extended XYZ:
```
5
Lattice="4.367 0.000 0.000 0.000 4.746 0.000 0.000 0.000 4.367" Properties=species:S:1:pos:R:3 pbc="T T T"
Co 0.000 0.000 2.184
Co 2.184 0.000 0.000
Se 2.184 2.373 2.184
As 0.000 0.000 0.000
Pt 0.000 2.373 0.000
```

total magnetic moment: 1.81 Bohr magnetons per cell
formation energy (no corrections): 338 kJ/mol of formula units
density of states at the Fermi level: 7.1 states/eV/f.u.


Entry from Alexandria via LeMat-Bulk: a relaxed CoAsPtSe2 crystal (PBE-GGA).

Geometry as extended XYZ:
```
5
Lattice="-0.240 -0.119 -4.659 -0.644 -4.620 0.152 -4.310 0.607 0.206" Properties=species:S:1:pos:R:3 pbc="T T T"
Pt -2.597 -2.066 -2.151
As -2.155 0.304 0.103
Se -0.322 -2.310 0.076
Se -0.120 -0.060 -2.330
Co 0.000 0.000 0.000
```

distance to the lowest polymorph of the same formula: 0.0000 eV per atom
total magnetic moment: 0.00 Bohr magnetons per cell
formation energy (no corrections): 281 kJ/mol of formula units
density of states at the Fermi level: 3.6 states/eV/f.u.


Entry from Alexandria via LeMat-Bulk: a relaxed CoAs2PtSe crystal (PBE-GGA).

Geometry as extended XYZ:
```
5
Lattice="-1.601 -0.765 4.034 3.819 -1.867 1.161 1.647 4.282 1.466" Properties=species:S:1:pos:R:3 pbc="T T T"
As -0.800 -0.383 2.017
As 1.909 -0.933 0.581
Se 0.824 2.141 0.733
Co 0.000 0.000 0.000
Pt 1.933 0.825 3.330
```

distance to the lowest polymorph of the same formula: 0.0000 eV per atom
total magnetic moment: 0.00 Bohr magnetons per cell
formation energy (no corrections): 244 kJ/mol of formula units
density of states at the Fermi level: 2.8 states/eV/f.u.


Entry from Alexandria via LeMat-Bulk: a relaxed CoSi2AsPt crystal (PBE-GGA).

Geometry as extended XYZ:
```
5
Lattice="4.245 0.000 0.000 0.000 4.659 0.000 0.000 0.000 4.245" Properties=species:S:1:pos:R:3 pbc="T T T"
As 0.000 2.329 0.000
Pt 2.123 2.329 2.123
Si 2.123 0.000 0.000
Si 0.000 0.000 2.123
Co 0.000 0.000 0.000
```

total magnetic moment: 0.00 Bohr magnetons per cell
formation energy (no corrections): 157 kJ/mol of formula units
density of states at the Fermi level: 3.6 states/eV/f.u.


Entry from Alexandria via LeMat-Bulk: a relaxed CoTeAsPt2 crystal (PBE-GGA).

Geometry as extended XYZ:
```
5
Lattice="4.985 0.000 0.000 0.000 4.619 0.000 0.000 0.000 4.985" Properties=species:S:1:pos:R:3 pbc="T T T"
Pt 2.493 0.000 0.000
Pt 0.000 0.000 2.493
Co 0.000 2.310 0.000
As 2.493 2.310 2.493
Te 0.000 0.000 0.000
```

total magnetic moment: 1.41 Bohr magnetons per cell
formation energy (no corrections): 497 kJ/mol of formula units
density of states at the Fermi level: 4.8 states/eV/f.u.


Entry from Alexandria via LeMat-Bulk: a relaxed PuCo5As6 crystal (PBE-GGA).

Geometry as extended XYZ:
```
12
Lattice="6.851 -0.020 0.000 1.953 5.128 0.000 0.976 2.564 5.130" Properties=species:S:1:pos:R:3 pbc="T T T"
As 4.455 6.294 3.124
As 3.478 3.730 2.006
As 6.301 3.942 3.124
As 5.325 1.378 2.006
As 6.576 3.380 0.000
As 2.227 1.728 0.000
Co 0.976 2.564 1.974
Co 4.402 2.554 0.000
Co 5.378 5.118 1.278
Co 1.953 5.128 3.155
Co 4.402 2.554 3.852
Pu 0.000 0.000 0.000
```

total magnetic moment: 4.07 Bohr magnetons per cell
final energy: -6.6688 eV/atom
density of states at the Fermi level: 14.8 states/eV/f.u.


Entry from Alexandria via LeMat-Bulk: a relaxed PuCo3As3 crystal (PBE-GGA).

Geometry as extended XYZ:
```
14
Lattice="6.589 0.000 0.000 3.295 5.707 0.000 3.295 1.902 6.653" Properties=species:S:1:pos:R:3 pbc="T T T"
Co 4.414 3.917 4.143
Co 5.599 5.744 2.510
Co 7.775 5.632 4.143
Co 5.404 1.977 2.510
Co 7.579 1.864 4.143
Co 8.764 3.692 2.510
As 7.847 5.675 1.821
As 7.580 1.780 1.821
As 5.331 1.934 4.831
As 8.838 3.650 4.831
As 5.598 5.829 4.831
As 4.340 3.958 1.821
Pu 9.884 5.707 6.640
Pu 3.295 1.902 0.012
```

total magnetic moment: 11.40 Bohr magnetons per cell
final energy: -7.4491 eV/atom
density of states at the Fermi level: 13.1 states/eV/f.u.


Entry from Alexandria via LeMat-Bulk: a relaxed Pu2Co12As7 crystal (PBE-GGA).

Geometry as extended XYZ:
```
21
Lattice="-2.874 0.374 -2.364 0.150 -9.230 -1.644 -5.270 3.438 6.952" Properties=species:S:1:pos:R:3 pbc="T T T"
Pu -1.437 0.187 -1.182
Pu -1.657 -5.007 1.221
Co -1.846 -6.073 -1.675
Co -4.551 -6.017 1.622
Co -2.882 -2.370 0.170
Co -5.583 0.771 3.951
Co -0.193 -2.403 -0.146
Co -2.861 1.343 3.691
Co -3.695 -4.599 3.764
Co -4.894 -1.255 5.752
Co -1.081 -8.020 0.044
Co -5.398 -2.352 3.232
Co -3.719 -0.211 1.530
Co -2.634 -2.441 2.816
As -3.269 -7.090 -0.107
As -1.750 -3.684 -1.414
As -4.934 -3.536 5.439
As -3.463 -0.784 4.086
As -4.117 2.296 5.368
As -4.261 -3.686 1.638
As -1.339 -1.114 1.452
```

total magnetic moment: 16.28 Bohr magnetons per cell
final energy: -7.3487 eV/atom
density of states at the Fermi level: 31.6 states/eV/f.u.


Entry from Alexandria via LeMat-Bulk: a relaxed PuCo2As2 crystal (PBE-GGA).

Geometry as extended XYZ:
```
10
Lattice="5.614 -0.512 -0.006 -2.387 5.108 -0.006 -1.607 -2.287 6.105" Properties=species:S:1:pos:R:3 pbc="T T T"
Pu -0.596 1.280 1.524
Pu 2.217 1.028 4.571
Co 0.604 -1.267 5.876
Co 1.020 3.580 2.817
Co 0.601 -1.272 3.277
Co 1.017 3.575 0.218
As 1.846 -0.435 1.524
As -0.225 2.743 4.571
As -0.956 -0.174 4.576
As 2.578 2.482 1.518
```

total magnetic moment: 9.02 Bohr magnetons per cell
final energy: -8.0647 eV/atom
density of states at the Fermi level: 14.7 states/eV/f.u.


Entry from Alexandria via LeMat-Bulk: a relaxed PuCo3As2 crystal (PBE-GGA).

Geometry as extended XYZ:
```
12
Lattice="-1.915 4.185 5.500 1.915 -4.185 5.500 1.915 4.185 -5.500" Properties=species:S:1:pos:R:3 pbc="T T T"
As 0.000 4.185 2.056
As 1.915 1.720 0.000
As 0.000 2.466 5.500
As 1.915 0.000 3.444
Co 0.000 1.417 7.527
Co 0.000 1.417 3.472
Co 1.915 2.769 2.028
Co 1.915 2.769 -2.028
Co 0.000 5.415 0.000
Co 0.000 2.956 0.000
Pu 0.000 0.000 9.841
Pu 0.000 0.000 1.158
```

total magnetic moment: 0.00 Bohr magnetons per cell
final energy: -7.5497 eV/atom
density of states at the Fermi level: 10.3 states/eV/f.u.


Entry from Alexandria via LeMat-Bulk: a relaxed PuCo5As3 crystal (PBE-GGA).

Geometry as extended XYZ:
```
18
Lattice="-3.259 -1.758 0.256 3.884 -3.745 -3.187 3.433 -4.915 9.959" Properties=species:S:1:pos:R:3 pbc="T T T"
Co 0.818 -4.535 6.188
Co 1.716 -2.457 4.979
Co 4.081 -6.384 8.113
Co 0.000 0.000 0.000
Co 3.240 -5.883 0.839
Co 1.561 -5.598 8.342
Co -0.023 -4.034 -1.085
Co 2.497 -4.820 -1.315
Co 1.239 -5.841 2.576
Co 2.818 -4.577 4.451
As 0.972 -5.683 0.252
As 3.592 -6.204 3.122
As 3.086 -4.735 6.775
As 0.466 -4.214 3.905
As -0.928 -2.219 -0.137
As 4.985 -8.199 7.164
Pu 2.491 -7.737 5.499
Pu 1.566 -2.681 1.529
```

total magnetic moment: 8.32 Bohr magnetons per cell
final energy: -7.4546 eV/atom
density of states at the Fermi level: 17.1 states/eV/f.u.


Entry from Alexandria via LeMat-Bulk: a relaxed PuCoAs2 crystal (PBE-GGA).

Geometry as extended XYZ:
```
4
Lattice="-1.407 -1.865 2.038 1.555 -1.055 2.466 -2.645 6.334 6.328" Properties=species:S:1:pos:R:3 pbc="T T T"
Co -1.249 1.707 5.416
As -1.772 3.965 4.763
As -0.726 -0.551 6.068
Pu 0.000 0.000 0.000
```

total magnetic moment: 5.65 Bohr magnetons per cell
final energy: -7.6624 eV/atom
density of states at the Fermi level: 8.5 states/eV/f.u.


Entry from Alexandria via LeMat-Bulk: a relaxed PuCoAs3Rh2 crystal (PBE-GGA).

Geometry as extended XYZ:
```
14
Lattice="8.181 1.156 0.825 4.962 6.606 0.825 4.962 2.931 5.978" Properties=species:S:1:pos:R:3 pbc="T T T"
As 7.020 4.146 5.071
As 11.085 6.547 2.557
As 7.020 6.145 2.269
As 11.085 4.549 5.358
As 9.335 7.512 5.358
As 8.770 3.181 2.269
Rh 2.481 3.303 0.412
Rh 2.481 1.465 2.989
Rh 0.000 0.000 0.000
Rh 4.090 0.578 0.412
Pu 13.136 7.759 5.535
Pu 4.968 2.935 2.093
Co 11.317 6.685 4.768
Co 6.788 4.009 2.860
```

total magnetic moment: 8.54 Bohr magnetons per cell
final energy: -7.4466 eV/atom
density of states at the Fermi level: 14.1 states/eV/f.u.


Entry from Alexandria via LeMat-Bulk: a relaxed PuCoAs2Rh2 crystal (PBE-GGA).

Geometry as extended XYZ:
```
6
Lattice="-3.675 -1.010 0.973 1.401 -2.786 2.397 1.274 6.730 3.850" Properties=species:S:1:pos:R:3 pbc="T T T"
As -1.042 1.468 5.542
As 0.042 1.465 1.678
Co 0.000 0.000 0.000
Rh -1.769 1.911 3.254
Rh 0.769 1.023 3.966
Pu -1.137 -1.898 1.685
```

total magnetic moment: 5.04 Bohr magnetons per cell
final energy: -7.9789 eV/atom
density of states at the Fermi level: 11.6 states/eV/f.u.


Entry from Alexandria via LeMat-Bulk: a relaxed Pu2ZnCo3As4 crystal (PBE-GGA).

Geometry as extended XYZ:
```
10
Lattice="4.157 0.000 0.000 0.000 4.157 0.000 0.000 0.000 9.627" Properties=species:S:1:pos:R:3 pbc="T T T"
As 2.078 0.000 6.246
As 2.078 2.078 0.000
As 0.000 0.000 0.000
As 0.000 2.078 3.380
Co 2.078 0.000 8.557
Co 0.000 0.000 4.813
Co 0.000 2.078 1.070
Pu 2.078 0.000 2.312
Pu 0.000 2.078 7.315
Zn 2.078 2.078 4.813
```

total magnetic moment: 9.31 Bohr magnetons per cell
final energy: -7.4938 eV/atom
density of states at the Fermi level: 26.4 states/eV/f.u.


Entry from Alexandria via LeMat-Bulk: a relaxed RbCo3As3 crystal (PBE-GGA).

Geometry as extended XYZ:
```
14
Lattice="6.063 0.000 2.410 2.553 5.499 2.410 -0.143 -0.091 9.191" Properties=species:S:1:pos:R:3 pbc="T T T"
Co 5.788 1.110 6.334
Co 2.685 4.299 7.676
Co 3.198 0.626 6.949
Co 5.274 4.782 7.061
Co 5.964 2.638 8.558
Co 2.509 2.771 5.452
As 4.974 0.589 8.427
As 4.043 1.144 4.868
As 4.430 4.264 9.143
As 1.681 2.223 7.532
As 6.792 3.186 6.478
As 3.498 4.820 5.583
Rb 2.855 1.822 1.648
Rb 5.617 3.586 12.362
```

total magnetic moment: 1.04 Bohr magnetons per cell
final energy: -5.3841 eV/atom
density of states at the Fermi level: 6.4 states/eV/f.u.


Entry from Alexandria via LeMat-Bulk: a relaxed RbCo6As4 crystal (PBE-GGA).

Geometry as extended XYZ:
```
11
Lattice="-2.447 -1.334 2.564 -2.613 -0.418 -2.710 6.683 -10.937 -2.111" Properties=species:S:1:pos:R:3 pbc="T T T"
As 1.633 -4.644 -0.858
As -0.009 -8.045 -1.398
As 3.408 -9.691 -1.791
As -1.784 -2.998 -0.465
Co -0.044 -4.021 0.662
Co -0.127 -3.563 -1.975
Co 0.853 -6.574 0.190
Co 0.771 -6.115 -2.447
Co 1.668 -8.668 -2.919
Co 1.751 -9.126 -0.281
Rb 0.000 0.000 0.000
```

total magnetic moment: 0.00 Bohr magnetons per cell
final energy: -5.8917 eV/atom
density of states at the Fermi level: 7.4 states/eV/f.u.


Entry from Alexandria via LeMat-Bulk: a relaxed Rb3CoAs crystal (PBE-GGA).

Geometry as extended XYZ:
```
5
Lattice="6.690 0.000 0.000 0.000 6.690 0.000 0.000 0.000 6.690" Properties=species:S:1:pos:R:3 pbc="T T T"
Rb 0.000 0.000 3.345
Rb 0.000 3.345 0.000
Rb 3.345 0.000 0.000
Co 3.345 3.345 3.345
As 0.000 0.000 0.000
```

distance to the lowest polymorph of the same formula: 0.0000 eV per atom
total magnetic moment: 3.00 Bohr magnetons per cell
density of states at the Fermi level: 9.7 states/eV/f.u.


Entry from Alexandria via LeMat-Bulk: a relaxed RbCoAs2S8 crystal (PBE-GGA).

Geometry as extended XYZ:
```
12
Lattice="5.648 0.000 0.000 2.824 4.891 0.000 2.824 1.630 10.932" Properties=species:S:1:pos:R:3 pbc="T T T"
As 2.824 1.630 2.110
As 8.472 4.891 8.822
Co 0.000 0.000 0.000
S 6.713 1.883 9.552
S 2.824 1.630 4.233
S 4.988 1.650 1.381
S 6.309 4.872 9.552
S 4.583 4.639 1.381
S 3.923 3.027 9.552
S 7.374 3.494 1.381
S 8.472 4.891 6.700
Rb 5.648 3.261 5.466
```

total magnetic moment: 0.15 Bohr magnetons per cell
formation energy (no corrections): -116 kJ/mol of formula units
density of states at the Fermi level: 10.1 states/eV/f.u.


Entry from Alexandria via LeMat-Bulk: a relaxed RbCoSb2As crystal (PBE-GGA).

Geometry as extended XYZ:
```
5
Lattice="5.367 0.000 0.000 0.000 4.555 0.000 0.000 0.000 5.367" Properties=species:S:1:pos:R:3 pbc="T T T"
As 0.000 2.277 0.000
Sb 2.684 0.000 0.000
Sb 0.000 0.000 2.684
Co 0.000 0.000 0.000
Rb 2.684 2.277 2.684
```

total magnetic moment: 0.00 Bohr magnetons per cell
formation energy (no corrections): 89 kJ/mol of formula units
density of states at the Fermi level: 4.4 states/eV/f.u.


Entry from Alexandria via LeMat-Bulk: a relaxed RbScCoAs2 crystal (PBE-GGA).

Geometry as extended XYZ:
```
5
Lattice="-2.467 -3.065 -3.859 3.804 1.079 -3.288 2.770 -4.432 1.749" Properties=species:S:1:pos:R:3 pbc="T T T"
Sc 1.902 0.540 -1.644
Co 2.053 -3.209 -2.699
As 1.385 -2.216 0.875
As -1.233 -1.533 -1.930
Rb 0.000 0.000 0.000
```

total magnetic moment: 1.06 Bohr magnetons per cell
final energy: -2.6877 eV/atom
density of states at the Fermi level: 6.0 states/eV/f.u.